[1]
PBE Sr3C4, optimized geometry; ΔE to the lowest computed polymorph = 0 meV per atom; formation enthalpy at 0 K = 1.3029 eV per atom; space-group type = P6/mmm (191); calculated density = 3.255 g cm⁻³; D(E_F) = 2.847 states/eV/f.u.; magnetic moment = 0.38 μB per atom
1.0
7.174 0.000 0.000
-3.587 6.213 0.000
0.000 0.000 3.558
Sr C
3 4
Cartesian
-1.793 3.106 0.000
3.587 0.000 0.000
1.793 3.106 0.000
0.000 0.000 1.140
0.000 0.000 2.419
0.000 4.142 1.779
3.587 2.071 1.779

[2]
PBE CsIrCl2, optimized geometry; ΔE to the lowest computed polymorph = 0 meV per atom; space-group type = R-3m (166); calculated density = 3.424 g cm⁻³; formation energy without anion corrections = -125 kJ/mol of formula units; D(E_F) = 0.000 states/eV/f.u.; magnetic moment = 0.50 μB per atom
1.0
6.025 0.000 0.000
-3.012 5.218 0.000
0.000 0.000 18.327
Cs Ir Cl
3 3 6
Cartesian
0.000 0.000 0.000
0.000 3.478 12.218
3.012 1.739 6.109
0.000 0.000 9.164
0.000 3.478 3.055
3.012 1.739 15.273
0.000 0.000 6.931
0.000 0.000 11.396
0.000 3.478 0.822
0.000 3.478 5.287
3.012 1.739 13.040
3.012 1.739 17.505

[3]
PBE Dy4Ru2Pt, optimized geometry; ΔE to the lowest computed polymorph = 46 meV per atom; formation enthalpy at 0 K = -0.5284 eV per atom; space-group type = I-42d (122); calculated density = 10.989 g cm⁻³; D(E_F) = 3.630 states/eV/f.u.; magnetic moment = 0.00 μB per atom
1.0
-4.298 4.298 4.283
4.298 -4.298 4.283
4.298 4.298 -4.283
Dy Ru Pt
8 4 2
Cartesian
5.862 0.557 0.549
3.741 2.734 -1.592
0.557 2.734 -0.549
0.557 1.564 2.690
3.741 1.564 3.734
1.564 -0.557 5.875
2.734 4.855 1.592
-1.564 3.741 4.832
2.149 -1.042 3.212
3.256 2.149 1.071
2.149 5.340 -1.071
1.042 2.149 5.354
0.000 0.000 0.000
0.000 4.298 2.141

[4]
PBE Ac6AuSe3S2, optimized geometry; space-group type = C2/m (12); calculated density = 8.276 g cm⁻³; formation energy without anion corrections = -1994 kJ/mol of formula units; D(E_F) = 6.314 states/eV/f.u.; magnetic moment = 0.00 μB per atom
1.0
3.840 -6.642 0.000
3.840 6.642 0.000
-2.564 0.000 7.317
Ac Au Se S
6 1 3 2
Cartesian
-0.021 2.251 5.550
1.236 0.000 1.764
-0.021 -2.251 5.550
5.136 2.251 1.767
3.880 0.000 5.553
5.136 -2.251 1.767
3.840 0.000 0.000
-1.282 0.000 3.658
2.558 2.212 3.658
2.558 -2.212 3.658
3.840 4.433 0.000
3.840 -4.433 0.000

[5]
PBE Ba2CdIn6Pt, optimized geometry; formation enthalpy at 0 K = -0.1774 eV per atom; space-group type = Fm-3m (225); calculated density = 6.448 g cm⁻³; D(E_F) = 6.149 states/eV/f.u.; magnetic moment = 0.00 μB per atom
1.0
0.000 5.470 5.470
5.470 0.000 5.470
5.470 5.470 0.000
Ba Cd In Pt
2 1 6 1
Cartesian
2.735 2.735 2.735
8.205 8.205 8.205
0.000 0.000 0.000
5.470 5.470 2.805
5.470 2.805 5.470
8.135 5.470 5.470
2.805 5.470 5.470
5.470 8.135 5.470
5.470 5.470 8.135
5.470 5.470 5.470

[6]
PBE Li3PtO4, optimized geometry; ΔE to the lowest computed polymorph = 0 meV per atom; space-group type = P2/c (13); calculated density = 6.154 g cm⁻³; formation energy without anion corrections = -1042 kJ/mol of formula units; D(E_F) = 4.911 states/eV/f.u.; magnetic moment = 0.11 μB per atom
1.0
5.151 0.000 0.000
0.000 5.979 0.000
-1.807 0.000 4.904
Li Pt O
6 2 8
Cartesian
-0.452 0.579 1.226
-1.355 2.161 3.678
-0.452 3.818 1.226
-1.355 5.400 3.678
1.221 0.686 3.678
2.124 5.294 1.226
2.124 2.187 1.226
1.221 3.793 3.678
1.288 0.815 0.077
0.385 5.164 2.529
0.500 2.315 2.448
-0.403 3.664 4.900
3.748 2.315 0.004
2.844 3.664 2.456
2.960 0.815 2.375
2.056 5.164 4.827

[7]
PBE CuRe2Ir, optimized geometry; ΔE to the lowest computed polymorph = 22 meV per atom; formation enthalpy at 0 K = 0.1151 eV per atom; space-group type = Cm (8); calculated density = 18.216 g cm⁻³; D(E_F) = 3.249 states/eV/f.u.; magnetic moment = 0.00 μB per atom
1.0
9.048 0.000 0.000
0.000 2.687 0.000
-0.739 0.000 4.710
Cu Re Ir
2 4 2
Cartesian
0.000 0.000 0.000
4.524 1.344 0.000
1.676 0.000 3.507
4.092 0.000 2.361
6.200 1.344 3.507
8.616 1.344 2.361
2.143 1.344 1.126
6.667 0.000 1.126

[8]
PBE PSe, optimized geometry; ΔE to the lowest computed polymorph = 383 meV per atom; space-group type = Pmmn (59); calculated density = 4.106 g cm⁻³; formation energy without anion corrections = 58 kJ/mol of formula units; D(E_F) = 0.640 states/eV/f.u.; magnetic moment = 0.00 μB per atom
1.0
3.673 0.000 0.000
0.000 17.644 0.000
0.000 0.000 4.117
P Se
6 6
Cartesian
0.918 1.055 1.008
0.918 7.767 1.008
0.918 13.233 1.283
2.754 4.411 2.833
2.754 9.877 3.109
2.754 16.589 3.109
0.918 4.411 0.193
0.918 10.076 1.319
0.918 16.390 1.319
2.754 1.254 2.798
2.754 7.568 2.798
2.754 13.233 3.924

[9]
PBE Be2ReIr, optimized geometry; ΔE to the lowest computed polymorph = 219 meV per atom; formation enthalpy at 0 K = -0.1047 eV per atom; space-group type = P2/m (10); calculated density = 13.652 g cm⁻³; D(E_F) = 2.246 states/eV/f.u.; magnetic moment = 0.00 μB per atom
1.0
2.680 0.000 0.000
0.000 3.734 0.000
-0.023 0.000 4.819
Be Re Ir
2 1 1
Cartesian
0.017 0.000 1.081
2.639 0.000 3.738
1.340 1.867 0.000
-0.012 1.867 2.410

[10]
PBE La4IrPd3, optimized geometry; formation enthalpy at 0 K = -0.8185 eV per atom; space-group type = Pmm2 (25); calculated density = 8.734 g cm⁻³; D(E_F) = 5.326 states/eV/f.u.; magnetic moment = 0.00 μB per atom
1.0
3.975 0.000 0.000
0.000 4.628 0.000
0.000 0.000 11.031
La Ir Pd
4 1 3
Cartesian
0.000 0.000 0.000
0.000 2.314 2.869
1.987 0.000 5.267
1.987 2.314 8.350
1.987 0.000 2.392
0.000 0.000 7.846
0.000 2.314 5.954
1.987 2.314 0.374

[11]
PBE La2Ti2Os, optimized geometry; ΔE to the lowest computed polymorph = 546 meV per atom; formation enthalpy at 0 K = 0.8907 eV per atom; space-group type = P4/mbm (127); calculated density = 8.255 g cm⁻³; D(E_F) = 5.202 states/eV/f.u.; magnetic moment = 0.00 μB per atom
1.0
8.233 0.000 0.000
0.000 8.233 0.000
0.000 0.000 3.346
La Ti Os
4 4 2
Cartesian
1.628 2.488 0.000
2.488 6.605 0.000
5.745 1.628 0.000
6.605 5.745 0.000
0.905 5.021 1.673
3.212 0.905 1.673
5.021 7.329 1.673
7.329 3.212 1.673
0.000 0.000 0.000
4.117 4.117 0.000

[12]
PBE Sm3RuBr, optimized geometry; space-group type = P2_1/m (11); calculated density = 7.325 g cm⁻³; formation energy without anion corrections = -275 kJ/mol of formula units; D(E_F) = 3.281 states/eV/f.u.; magnetic moment = 0.00 μB per atom
1.0
7.516 0.000 0.000
0.000 4.042 0.000
-1.343 0.000 9.433
Sm Ru Br
6 2 2
Cartesian
-0.069 1.010 1.502
0.758 1.010 5.583
2.460 3.031 8.011
3.713 1.010 1.423
5.416 3.031 3.850
6.243 3.031 7.931
0.567 1.010 8.442
5.606 3.031 0.991
2.125 3.031 3.430
4.048 1.010 6.004